TbBN | PBE | optimized geometry

Uncorrected formation energy in meV/atom: -1238
Space group: Cmcm, No. 63
Relative energy among the computed polymorphs in eV per formula unit: 0.00
DOS(E_F) in states/eV/cell: 1.5
Energy in eV per atom: -7.78

Cell lengths 3.579, 3.359, 6.287 Å; angles 90.00, 73.47, 90.00 degrees
Fractional coordinates of all 6 atoms:
B1 0.775 0.716 0.471
Tb1 0.454 0.716 0.112
N1 0.972 0.216 0.076
N2 0.652 0.716 0.717
B2 0.849 0.216 0.322
Tb2 0.169 0.216 0.681



Pr4Sm3Tm5 | PBE | optimized geometry

Space group: C2/m, No. 12
Calculated formation energy in eV per atom: 0.222
DOS(E_F) in states/eV/cell: 18.9
Energy in eV per atom: -4.41

Cell lengths 5.981, 8.597, 9.693 Å; angles 104.91, 72.03, 69.64 degrees
Fractional coordinates of all 12 atoms:
Tm1 0.209 0.461 0.122
Pr1 0.863 0.224 0.050
Sm1 0.000 0.500 0.500
Tm2 0.791 0.539 0.878
Sm2 0.528 0.688 0.257
Pr2 0.137 0.776 0.950
Pr3 0.174 0.040 0.613
Sm3 0.472 0.312 0.743
Pr4 0.826 0.960 0.387
Tm3 0.632 0.937 0.800
Tm4 0.368 0.063 0.200
Tm5 0.500 0.500 0.500



SrPrGe2Pd5 | PBE | optimized geometry

Space group: P4/mmm, No. 123
Calculated formation energy in eV per atom: -0.738
DOS(E_F) in states/eV/cell: 5.8
Energy in eV per atom: -5.37

Cell lengths 4.397, 4.397, 9.140 Å; angles 90.00, 90.00, 90.00 degrees
Fractional coordinates of all 9 atoms:
Pd1 0.000 0.500 0.276
Ge1 0.500 0.500 0.853
Sr1 0.000 0.000 0.000
Ge2 0.500 0.500 0.147
Pr1 0.000 0.000 0.500
Pd2 0.500 0.000 0.276
Pd3 0.500 0.500 0.500
Pd4 0.000 0.500 0.724
Pd5 0.500 0.000 0.724



Mn2ZnIn | PBE | optimized geometry

Space group: P4/mmm, No. 123
Calculated formation energy in eV per atom: 0.169
DOS(E_F) in states/eV/cell: 3.1
Energy in eV per atom: -5.42

Cell lengths 2.909, 2.909, 7.285 Å; angles 90.00, 90.00, 90.00 degrees
Fractional coordinates of all 4 atoms:
Zn1 0.500 0.500 0.250
Mn1 0.000 0.000 0.024
Mn2 0.000 0.000 0.476
In1 0.500 0.500 0.750



KNiBiB2 | PBE | optimized geometry

Space group: P4/mmm, No. 123
Calculated formation energy in eV per atom: 1.641
DOS(E_F) in states/eV/cell: 2.9
Energy in eV per atom: -3.18

Cell lengths 4.953, 4.909, 4.953 Å; angles 90.00, 90.00, 90.00 degrees
Fractional coordinates of all 5 atoms:
B1 0.500 0.000 0.000
Bi1 0.000 0.000 0.000
K1 0.500 0.500 0.500
Ni1 0.000 0.500 0.000
B2 0.000 0.000 0.500



BaCa2PmHg4 | PBE | optimized geometry

Space group: R-3m, No. 166
Calculated formation energy in eV per atom: -0.508
DOS(E_F) in states/eV/cell: 7.8
Energy in eV per atom: -1.99

Cell lengths 5.485, 5.485, 9.665 Å; angles 73.52, 73.52, 60.00 degrees
Fractional coordinates of all 8 atoms:
Ca1 0.752 0.752 0.744
Ba1 0.000 0.000 0.000
Ca2 0.248 0.248 0.256
Hg1 0.617 0.617 0.149
Hg2 0.129 0.129 0.612
Pm1 0.500 0.500 0.500
Hg3 0.383 0.383 0.851
Hg4 0.871 0.871 0.388



Er6Ni2Hg | PBE | optimized geometry

Space group: Immm, No. 71
Calculated formation energy in eV per atom: -0.355
DOS(E_F) in states/eV/cell: 19.4
Energy in eV per atom: -4.72

Cell lengths 8.297, 8.297, 8.297 Å; angles 106.39, 109.51, 112.58 degrees
Fractional coordinates of all 18 atoms:
Ni1 0.645 0.000 0.645
Ni2 0.500 0.377 0.877
Er1 0.306 0.632 0.326
Er2 0.107 0.290 0.817
Er3 0.528 0.710 0.817
Er4 0.694 0.019 0.326
Er5 0.893 0.710 0.183
Ni3 0.355 0.000 0.355
Ni4 0.500 0.623 0.123
Er6 0.200 0.765 0.965
Er7 0.200 0.235 0.435
Er8 0.306 0.981 0.674
Er9 0.800 0.765 0.565
Hg1 0.000 0.000 0.000
Er10 0.694 0.368 0.674
Er11 0.472 0.290 0.183
Er12 0.800 0.235 0.035
Hg2 0.000 0.500 0.500



Al2CdO | PBE | optimized geometry

Uncorrected formation energy in meV/atom: -672
Space group: I-42d, No. 122
Relative energy among the computed polymorphs in eV per formula unit: 1.32
DOS(E_F) in states/eV/cell: 4.5
Energy in eV per atom: -4.01

Cell lengths 5.065, 5.065, 6.620 Å; angles 67.51, 67.51, 90.00 degrees
Fractional coordinates of all 8 atoms:
Cd1 0.000 0.000 0.000
Al1 0.875 0.715 0.750
Cd2 0.750 0.250 0.500
O1 0.500 0.500 0.000
O2 0.250 0.750 0.500
Al2 0.285 0.625 0.250
Al3 0.375 0.535 0.750
Al4 0.465 0.125 0.250



| no. | magnetic moment (μB per atom) | ρ (g/cm³) |
| --- | --- | --- |
| 1 | 0.0000 | 8.42 |
| 2 | 0.0219 | 7.61 |
| 3 | 0.0000 | 8.51 |
| 4 | 1.4884 | 7.81 |
| 5 | 0.0000 | 4.53 |
| 6 | 0.0000 | 8.13 |
| 7 | 0.0000 | 10.01 |
| 8 | 0.0000 | 4.24 |